Computed, not measured: an optimized crystal structure of Y2TmRh2 at the PBE level of DFT.

Properties
N(E_F)	7.010	states/eV/cell
energy relative to the elements	-0.47	eV per atom
calculated volume	119	Å³/f.u.

```
data_Y2TmRh2
_cell_length_a 7.6951
_cell_length_b 7.6951
_cell_length_c 5.6059
_cell_angle_alpha 90.00
_cell_angle_beta 90.00
_cell_angle_gamma 134.08
_symmetry_space_group_name_H-M 'P 1'
_symmetry_Int_Tables_number 1
loop_
_symmetry_equiv_pos_as_xyz
'x,y,z'
loop_
_atom_site_label
_atom_site_type_symbol
_atom_site_fract_x
_atom_site_fract_y
_atom_site_fract_z
_atom_site_occupancy
Y1 Y 0.0818 0.9182 0.7500 1
Y2 Y 0.2782 0.7218 0.2500 1
Y3 Y 0.7218 0.2782 0.7500 1
Y4 Y 0.9182 0.0818 0.2500 1
Tm1 Tm 0.5000 0.5000 0.0000 1
Tm2 Tm 0.5000 0.5000 0.5000 1
Rh1 Rh 0.1224 0.3666 0.7500 1
Rh2 Rh 0.3666 0.1224 0.2500 1
Rh3 Rh 0.6334 0.8776 0.7500 1
Rh4 Rh 0.8776 0.6334 0.2500 1
```


Computed, not measured: an optimized crystal structure of Pa4Hg at the PBE level of DFT.

Properties
N(E_F)	18.751	states/eV/cell
energy relative to the elements	1.53	eV per atom
calculated volume	171	Å³/f.u.

```
data_Pa4Hg
_cell_length_a 5.5452
_cell_length_b 5.5452
_cell_length_c 5.5452
_cell_angle_alpha 90.00
_cell_angle_beta 90.00
_cell_angle_gamma 90.00
_symmetry_space_group_name_H-M 'P 1'
_symmetry_Int_Tables_number 1
loop_
_symmetry_equiv_pos_as_xyz
'x,y,z'
loop_
_atom_site_label
_atom_site_type_symbol
_atom_site_fract_x
_atom_site_fract_y
_atom_site_fract_z
_atom_site_occupancy
Pa1 Pa 0.0000 0.0000 0.0000 1
Pa2 Pa 0.0000 0.5000 0.5000 1
Pa3 Pa 0.5000 0.0000 0.5000 1
Pa4 Pa 0.5000 0.5000 0.0000 1
Hg1 Hg 0.5000 0.5000 0.5000 1
```


Computed, not measured: an optimized crystal structure of BiSCl2F at the PBE level of DFT.

Properties
N(E_F)	2.662	states/eV/cell
calculated volume	160	Å³/f.u.
relative energy among the computed polymorphs	0.3761	eV per atom
ΔE_f (raw)	-69	kJ/mol of formula units

```
data_BiSCl2F
_cell_length_a 5.3045
_cell_length_b 5.3045
_cell_length_c 5.6727
_cell_angle_alpha 90.00
_cell_angle_beta 90.00
_cell_angle_gamma 90.00
_symmetry_space_group_name_H-M 'P 1'
_symmetry_Int_Tables_number 1
loop_
_symmetry_equiv_pos_as_xyz
'x,y,z'
loop_
_atom_site_label
_atom_site_type_symbol
_atom_site_fract_x
_atom_site_fract_y
_atom_site_fract_z
_atom_site_occupancy
Bi1 Bi 0.0000 0.0000 0.0000 1
S1 S 0.0000 0.0000 0.5000 1
Cl1 Cl 0.0000 0.5000 0.0000 1
Cl2 Cl 0.5000 0.0000 0.0000 1
F1 F 0.5000 0.5000 0.5000 1
```


Computed, not measured: an optimized crystal structure of MgRhIO6 at the PBE level of DFT.

Properties
calculated volume	105	Å³/f.u.
ΔE_f (raw)	-841	kJ/mol of formula units

```
data_MgRhIO6
_cell_length_a 5.1715
_cell_length_b 5.1715
_cell_length_c 9.0914
_cell_angle_alpha 90.00
_cell_angle_beta 90.00
_cell_angle_gamma 120.00
_symmetry_space_group_name_H-M 'P 1'
_symmetry_Int_Tables_number 1
loop_
_symmetry_equiv_pos_as_xyz
'x,y,z'
loop_
_atom_site_label
_atom_site_type_symbol
_atom_site_fract_x
_atom_site_fract_y
_atom_site_fract_z
_atom_site_occupancy
Mg1 Mg 0.0000 0.0000 0.0000 1
Mg2 Mg 0.0000 0.0000 0.5000 1
Rh1 Rh 0.3333 0.6667 0.2500 1
Rh2 Rh 0.6667 0.3333 0.7500 1
I1 I 0.3333 0.6667 0.7500 1
I2 I 0.6667 0.3333 0.2500 1
O1 O 0.0121 0.3569 0.6328 1
O2 O 0.0121 0.6552 0.8672 1
O3 O 0.3448 0.3569 0.8672 1
O4 O 0.3448 0.9879 0.6328 1
O5 O 0.3569 0.0121 0.1328 1
O6 O 0.3569 0.3448 0.3672 1
O7 O 0.6431 0.6552 0.6328 1
O8 O 0.6431 0.9879 0.8672 1
O9 O 0.6552 0.0121 0.3672 1
O10 O 0.6552 0.6431 0.1328 1
O11 O 0.9879 0.3448 0.1328 1
O12 O 0.9879 0.6431 0.3672 1
```


Computed, not measured: an optimized crystal structure of TiV6Cr at the PBE level of DFT.

Properties
N(E_F)	10.776	states/eV/cell
energy relative to the elements	0.16	eV per atom
calculated volume	110	Å³/f.u.

```
data_TiV6Cr
_cell_length_a 5.3532
_cell_length_b 5.3532
_cell_length_c 5.3532
_cell_angle_alpha 111.11
_cell_angle_beta 111.11
_cell_angle_gamma 111.11
_symmetry_space_group_name_H-M 'P 1'
_symmetry_Int_Tables_number 1
loop_
_symmetry_equiv_pos_as_xyz
'x,y,z'
loop_
_atom_site_label
_atom_site_type_symbol
_atom_site_fract_x
_atom_site_fract_y
_atom_site_fract_z
_atom_site_occupancy
Ti1 Ti 0.0000 0.0000 0.0000 1
V1 V 0.2537 0.2537 0.7413 1
V2 V 0.2537 0.7413 0.2537 1
V3 V 0.2587 0.7463 0.7463 1
V4 V 0.7413 0.2537 0.2537 1
V5 V 0.7463 0.2587 0.7463 1
V6 V 0.7463 0.7463 0.2587 1
Cr1 Cr 0.5000 0.5000 0.5000 1
```


Computed, not measured: an optimized crystal structure of Ca2YUN4 at the PBE level of DFT.

Properties
N(E_F)	2.673	states/eV/cell
calculated volume	120	Å³/f.u.
ΔE_f (raw)	-1088	kJ/mol of formula units

```
data_Ca2YUN4
_cell_length_a 5.9968
_cell_length_b 3.5257
_cell_length_c 6.0256
_cell_angle_alpha 90.00
_cell_angle_beta 109.01
_cell_angle_gamma 90.00
_symmetry_space_group_name_H-M 'P 1'
_symmetry_Int_Tables_number 1
loop_
_symmetry_equiv_pos_as_xyz
'x,y,z'
loop_
_atom_site_label
_atom_site_type_symbol
_atom_site_fract_x
_atom_site_fract_y
_atom_site_fract_z
_atom_site_occupancy
Ca1 Ca 0.0000 0.0000 0.0000 1
Ca2 Ca 0.5000 0.5000 0.0000 1
Y1 Y 0.0000 0.5000 0.5000 1
U1 U 0.5000 0.0000 0.5000 1
N1 N 0.2640 0.0000 0.7150 1
N2 N 0.2729 0.5000 0.2818 1
N3 N 0.7271 0.5000 0.7182 1
N4 N 0.7360 0.0000 0.2850 1
```


Computed, not measured: an optimized crystal structure of Na3Ag4Sn2 at the PBE level of DFT.

Properties
N(E_F)	2.718	states/eV/cell
energy relative to the elements	-0.10	eV per atom
calculated volume	192	Å³/f.u.

```
data_Na3Ag4Sn2
_cell_length_a 4.9180
_cell_length_b 4.9180
_cell_length_c 9.1804
_cell_angle_alpha 90.09
_cell_angle_beta 90.09
_cell_angle_gamma 60.10
_symmetry_space_group_name_H-M 'P 1'
_symmetry_Int_Tables_number 1
loop_
_symmetry_equiv_pos_as_xyz
'x,y,z'
loop_
_atom_site_label
_atom_site_type_symbol
_atom_site_fract_x
_atom_site_fract_y
_atom_site_fract_z
_atom_site_occupancy
Na1 Na 0.0000 0.0000 0.0000 1
Na2 Na 0.3332 0.3332 0.5685 1
Na3 Na 0.6668 0.6668 0.4315 1
Ag1 Ag 0.9999 0.9999 0.3324 1
Ag2 Ag 0.0001 0.0001 0.6676 1
Ag3 Ag 0.3330 0.3330 0.8982 1
Ag4 Ag 0.6670 0.6670 0.1018 1
Sn1 Sn 0.3335 0.3335 0.2167 1
Sn2 Sn 0.6665 0.6665 0.7833 1
```


Computed, not measured: an optimized crystal structure of Er5Th4Mg at the PBE level of DFT.

Properties
N(E_F)	10.772	states/eV/cell
energy relative to the elements	0.01	eV per atom
calculated volume	306	Å³/f.u.

```
data_Er5Th4Mg
_cell_length_a 3.5712
_cell_length_b 3.5712
_cell_length_c 23.9967
_cell_angle_alpha 90.00
_cell_angle_beta 90.00
_cell_angle_gamma 90.00
_symmetry_space_group_name_H-M 'P 1'
_symmetry_Int_Tables_number 1
loop_
_symmetry_equiv_pos_as_xyz
'x,y,z'
loop_
_atom_site_label
_atom_site_type_symbol
_atom_site_fract_x
_atom_site_fract_y
_atom_site_fract_z
_atom_site_occupancy
Er1 Er 0.0000 0.0000 0.0000 1
Er2 Er 0.0000 0.0000 0.2068 1
Er3 Er 0.0000 0.0000 0.4096 1
Er4 Er 0.0000 0.0000 0.5904 1
Er5 Er 0.0000 0.0000 0.7932 1
Th1 Th 0.5000 0.5000 0.1032 1
Th2 Th 0.5000 0.5000 0.3103 1
Th3 Th 0.5000 0.5000 0.6897 1
Th4 Th 0.5000 0.5000 0.8968 1
Mg1 Mg 0.5000 0.5000 0.5000 1
```


Computed, not measured: an optimized crystal structure of AsPRhAu2 at the PBE level of DFT.

Properties
N(E_F)	1.601	states/eV/cell
energy relative to the elements	-0.08	eV per atom
calculated volume	94	Å³/f.u.
relative energy among the computed polymorphs	0.0514	eV per atom

```
data_AsPRhAu2
_cell_length_a 3.1578
_cell_length_b 5.3513
_cell_length_c 5.5708
_cell_angle_alpha 90.95
_cell_angle_beta 90.07
_cell_angle_gamma 90.01
_symmetry_space_group_name_H-M 'P 1'
_symmetry_Int_Tables_number 1
loop_
_symmetry_equiv_pos_as_xyz
'x,y,z'
loop_
_atom_site_label
_atom_site_type_symbol
_atom_site_fract_x
_atom_site_fract_y
_atom_site_fract_z
_atom_site_occupancy
As1 As 0.0000 0.0000 0.0000 1
P1 P 0.0011 0.9991 0.5559 1
Rh1 Rh 0.5006 0.8220 0.3094 1
Au1 Au 0.0005 0.4488 0.5365 1
Au2 Au 0.9993 0.4768 0.0309 1
```


Computed, not measured: an optimized crystal structure of CrCoB4 at the PBE level of DFT.

Properties
N(E_F)	12.327	states/eV/cell
energy relative to the elements	-0.09	eV per atom
calculated volume	48	Å³/f.u.

```
data_CrCoB4
_cell_length_a 5.7771
_cell_length_b 10.9955
_cell_length_c 3.0240
_cell_angle_alpha 90.00
_cell_angle_beta 90.00
_cell_angle_gamma 90.00
_symmetry_space_group_name_H-M 'P 1'
_symmetry_Int_Tables_number 1
loop_
_symmetry_equiv_pos_as_xyz
'x,y,z'
loop_
_atom_site_label
_atom_site_type_symbol
_atom_site_fract_x
_atom_site_fract_y
_atom_site_fract_z
_atom_site_occupancy
Cr1 Cr 0.1174 0.1389 0.0000 1
Cr2 Cr 0.3826 0.6389 0.0000 1
Cr3 Cr 0.6174 0.3611 0.0000 1
Cr4 Cr 0.8826 0.8611 0.0000 1
Co1 Co 0.1357 0.4099 0.0000 1
Co2 Co 0.3643 0.9099 0.0000 1
Co3 Co 0.6357 0.0901 0.0000 1
Co4 Co 0.8643 0.5901 0.0000 1
B1 B 0.0090 0.7009 0.5000 1
B2 B 0.1173 0.5528 0.5000 1
B3 B 0.1314 0.9704 0.5000 1
B4 B 0.2002 0.8118 0.5000 1
B5 B 0.2998 0.3118 0.5000 1
B6 B 0.3686 0.4704 0.5000 1
B7 B 0.3827 0.0528 0.5000 1
B8 B 0.4910 0.2009 0.5000 1
B9 B 0.5090 0.7991 0.5000 1
B10 B 0.6173 0.9472 0.5000 1
B11 B 0.6314 0.5296 0.5000 1
B12 B 0.7002 0.6882 0.5000 1
B13 B 0.7998 0.1882 0.5000 1
B14 B 0.8686 0.0296 0.5000 1
B15 B 0.8827 0.4472 0.5000 1
B16 B 0.9910 0.2991 0.5000 1
```


> The lowest calculated volume belongs to which entry?

CrCoB4


> Which value of calculated volume does entry 10 give?

48 Å³/f.u.


> Which of these has the lowest calculated volume?

CrCoB4